No. 1
# MoPtN2O

A relaxed MoPtN2O crystal (PBE with a Hubbard U, the Alexandria database).

Computed properties:
DOS at the Fermi energy (states/eV per atom): 0.869
Uncorrected energy (eV/atom): -6.113
M_tot (μB per formula unit): 0.00

a b c (Å): 4.051 4.051 3.766
angles (deg): 90.00 90.00 90.00
Fractional positions:
Mo  0.000  0.000  0.000
Pt  0.500  0.500  0.500
N  0.000  0.500  0.000
N  0.500  0.000  0.000
O  0.000  0.000  0.500



No. 2
# RbMoN2O

A relaxed RbMoN2O crystal (PBE with a Hubbard U, the Alexandria database).

Computed properties:
DOS at the Fermi energy (states/eV per atom): 0.238
Uncorrected energy (eV/atom): -6.027
M_tot (μB per formula unit): 1.00

a b c (Å): 4.086 4.086 4.125
angles (deg): 90.00 90.00 90.00
Fractional positions:
Rb  0.000  0.000  0.000
Mo  0.500  0.500  0.500
N  0.000  0.500  0.500
N  0.500  0.000  0.500
O  0.500  0.500  0.000



No. 3
# RbMoN2O

A relaxed RbMoN2O crystal (PBE with a Hubbard U, the Alexandria database).

Computed properties:
DOS at the Fermi energy (states/eV per atom): 0.499
Uncorrected energy (eV/atom): -3.164
M_tot (μB per formula unit): 0.01

a b c (Å): 4.476 4.476 4.153
angles (deg): 90.00 90.00 90.00
Fractional positions:
Rb  0.000  0.000  0.000
Mo  0.500  0.500  0.500
N  0.000  0.500  0.000
N  0.500  0.000  0.000
O  0.000  0.000  0.500



No. 4
# MoRhN2O

A relaxed MoRhN2O crystal (PBE with a Hubbard U, the Alexandria database).

Computed properties:
DOS at the Fermi energy (states/eV per atom): 0.717
Uncorrected energy (eV/atom): -5.985
M_tot (μB per formula unit): 0.89

a b c (Å): 3.846 3.846 3.955
angles (deg): 90.00 90.00 90.00
Fractional positions:
Mo  0.000  0.000  0.000
Rh  0.500  0.500  0.500
N  0.000  0.500  0.500
N  0.500  0.000  0.500
O  0.500  0.500  0.000



No. 5
# MoRhN2O

A relaxed MoRhN2O crystal (PBE with a Hubbard U, the Alexandria database).

Computed properties:
DOS at the Fermi energy (states/eV per atom): 0.879
Uncorrected energy (eV/atom): -6.497
M_tot (μB per formula unit): 2.13

a b c (Å): 3.990 3.990 3.849
angles (deg): 90.00 90.00 90.00
Fractional positions:
Mo  0.000  0.000  0.000
Rh  0.500  0.500  0.500
N  0.000  0.500  0.000
N  0.500  0.000  0.000
O  0.000  0.000  0.500



No. 6
# MoRhNO2

A relaxed MoRhNO2 crystal (PBE with a Hubbard U, the Alexandria database).

Computed properties:
DOS at the Fermi energy (states/eV per atom): 0.853
Uncorrected energy (eV/atom): -6.457
M_tot (μB per formula unit): 2.24

a b c (Å): 3.901 3.901 4.014
angles (deg): 90.00 90.00 90.00
Fractional positions:
Mo  0.000  0.000  0.000
Rh  0.500  0.500  0.500
N  0.000  0.000  0.500
O  0.000  0.500  0.000
O  0.500  0.000  0.000



No. 7
# MoRhNO2

A relaxed MoRhNO2 crystal (PBE with a Hubbard U, the Alexandria database).

Computed properties:
DOS at the Fermi energy (states/eV per atom): 0.468
Uncorrected energy (eV/atom): -6.174
M_tot (μB per formula unit): 3.58

a b c (Å): 4.129 4.129 3.659
angles (deg): 90.00 90.00 90.00
Fractional positions:
Mo  0.000  0.000  0.000
Rh  0.500  0.500  0.500
N  0.500  0.500  0.000
O  0.000  0.500  0.500
O  0.500  0.000  0.500



No. 8
# MoRuNO2

A relaxed MoRuNO2 crystal (PBE with a Hubbard U, the Alexandria database).

Computed properties:
DOS at the Fermi energy (states/eV per atom): 0.721
Uncorrected energy (eV/atom): -6.735
M_tot (μB per formula unit): 3.61

a b c (Å): 3.915 3.915 4.009
angles (deg): 90.00 90.00 90.00
Fractional positions:
Mo  0.000  0.000  0.000
Ru  0.500  0.500  0.500
N  0.000  0.000  0.500
O  0.000  0.500  0.000
O  0.500  0.000  0.000



No. 9
# MoRuNO2

A relaxed MoRuNO2 crystal (PBE with a Hubbard U, the Alexandria database).

Computed properties:
DOS at the Fermi energy (states/eV per atom): 0.668
Uncorrected energy (eV/atom): -6.759
M_tot (μB per formula unit): 3.10

a b c (Å): 4.022 4.022 3.742
angles (deg): 90.00 90.00 90.00
Fractional positions:
Mo  0.000  0.000  0.000
Ru  0.500  0.500  0.500
N  0.500  0.500  0.000
O  0.000  0.500  0.500
O  0.500  0.000  0.500



No. 10
# MoSN2O

A relaxed MoSN2O crystal (PBE with a Hubbard U, the Alexandria database).

Computed properties:
DOS at the Fermi energy (states/eV per atom): 0.200
Uncorrected energy (eV/atom): -5.499
M_tot (μB per formula unit): 2.74

a b c (Å): 3.788 3.788 3.488
angles (deg): 90.00 90.00 90.00
Fractional positions:
Mo  0.000  0.000  0.000
S  0.500  0.500  0.500
N  0.000  0.500  0.500
N  0.500  0.000  0.500
O  0.500  0.500  0.000



No. 11
# MoSN2O

A relaxed MoSN2O crystal (PBE with a Hubbard U, the Alexandria database).

Computed properties:
DOS at the Fermi energy (states/eV per atom): 0.325
Uncorrected energy (eV/atom): -4.802
M_tot (μB per formula unit): 1.53

a b c (Å): 3.837 3.837 3.707
angles (deg): 90.00 90.00 90.00
Fractional positions:
Mo  0.000  0.000  0.000
S  0.500  0.500  0.000
N  0.000  0.500  0.500
N  0.500  0.000  0.500
O  0.500  0.500  0.500



No. 12
# MoSN2O

A relaxed MoSN2O crystal (PBE with a Hubbard U, the Alexandria database).

Computed properties:
DOS at the Fermi energy (states/eV per atom): 0.946
Uncorrected energy (eV/atom): -5.279
M_tot (μB per formula unit): 1.54

a b c (Å): 3.858 3.858 5.061
angles (deg): 90.00 90.00 90.00
Fractional positions:
Mo  0.000  0.000  0.000
S  0.000  0.000  0.500
N  0.000  0.500  0.000
N  0.500  0.000  0.000
O  0.500  0.500  0.500